## La2SmTm (PBE-GGA)

Data for a geometry-optimized La2SmTm structure.

Geometry as CIF:
```
data_La2SmTm
_symmetry_space_group_name_H-M 'P 4/m m m'
_symmetry_Int_Tables_number 123
_symmetry_space_group_name_Hall '-P 4 2'
_cell_length_a 3.7052
_cell_length_b 3.7052
_cell_length_c 10.0400
_cell_angle_alpha 90.00
_cell_angle_beta 90.00
_cell_angle_gamma 90.00
loop_
_atom_site_label
_atom_site_fract_x
_atom_site_fract_y
_atom_site_fract_z
_atom_site_occupancy
La1 0.0000 0.0000 0.2449 1
Sm1 0.5000 0.5000 0.5000 1
Tm1 0.5000 0.5000 0.0000 1
```

## Properties
magnetization: 0.000 μB/atom
formation enthalpy at 0 K: 24.5 meV/atom
energy above the lowest structure with this stoichiometry: 10 meV per atom

---

## Ca6Bi3O (PBE-GGA)

Data for a geometry-optimized Ca6Bi3O structure.

Geometry as CIF:
```
data_Ca6Bi3O
_symmetry_space_group_name_H-M 'C m c 21'
_symmetry_Int_Tables_number 36
_symmetry_space_group_name_Hall 'C 2c -2'
_cell_length_a 12.2091
_cell_length_b 15.2342
_cell_length_c 7.3515
_cell_angle_alpha 90.00
_cell_angle_beta 90.00
_cell_angle_gamma 90.00
loop_
_atom_site_label
_atom_site_fract_x
_atom_site_fract_y
_atom_site_fract_z
_atom_site_occupancy
Ca1 0.0000 0.0563 0.0000 1
Ca2 0.0000 0.2178 0.5902 1
Ca3 0.1452 0.2581 0.0304 1
Ca4 0.1605 0.4829 0.5743 1
Bi1 0.0000 0.3830 0.2983 1
Bi2 0.1764 0.1077 0.3457 1
O1 0.0000 0.1954 0.8909 1
```

## Properties
magnetization: 0.001 μB/atom
E_form (uncorrected): -1.168 eV per atom

---

Q: Which value of magnetization does entry 2 give?
A: 0.001 μB/atom

---

Q: What is the formula in the first record?
A: La2SmTm

---

Q: magnetization of number 2 (Ca6Bi3O)?
A: 0.001 μB/atom